(1)
{"formula": "TeP2HS", "functional": "PBE-GGA", "state": "relaxed", "lattice": [[-0.740, 1.296, -3.372], [3.167, -1.424, -1.242], [-3.365, -6.088, -1.600]], "species": ["P", "P", "S", "Te", "H"], "fractional_positions": [[0.000, 0.500, 0.000], [0.500, 0.000, 0.000], [0.000, 0.000, 0.500], [0.500, 0.500, 0.500], [0.000, 0.000, 0.000]], "relative_energy_ev_per_atom": 0.000, "dos_at_fermi_per_ev_cell": 3.29, "e_tot_ev_per_atom": -3.541, "magmom_total_mub_per_fu": 0.0, "spacegroup": "P4/mmm (123)"}


(2)
{"formula": "TlPH4S", "functional": "PBE-GGA", "state": "relaxed", "lattice": [[7.230, 1.740, 1.329], [4.037, 6.246, 1.329], [3.982, 2.822, 8.348]], "species": ["Tl", "Tl", "P", "P", "H", "H", "H", "H", "H", "H", "H", "H", "S", "S"], "fractional_positions": [[0.968, 0.968, 0.319], [0.032, 0.032, 0.681], [0.605, 0.605, 0.742], [0.395, 0.395, 0.258], [0.349, 0.349, 0.442], [0.651, 0.651, 0.558], [0.004, 0.648, 0.157], [0.524, 0.524, 0.177], [0.352, 0.996, 0.843], [0.648, 0.004, 0.157], [0.476, 0.476, 0.823], [0.996, 0.352, 0.843], [0.214, 0.214, 0.894], [0.786, 0.786, 0.106]], "e_tot_ev_per_atom": -3.649, "magmom_total_mub_per_fu": 0.0, "spacegroup": "C2/m (12)"}


(3)
{"formula": "TlP2HS", "functional": "PBE-GGA", "state": "relaxed", "lattice": [[-3.680, -0.195, -0.147], [0.237, -3.384, -1.446], [-0.115, -2.874, 6.707]], "species": ["P", "P", "Tl", "S", "H"], "fractional_positions": [[0.000, 0.500, 0.000], [0.500, 0.000, 0.000], [0.500, 0.500, 0.500], [0.000, 0.000, 0.500], [0.000, 0.000, 0.000]], "relative_energy_ev_per_atom": 0.000, "dos_at_fermi_per_ev_cell": 2.25, "e_tot_ev_per_atom": -3.513, "magmom_total_mub_per_fu": 0.0, "spacegroup": "P4/mmm (123)"}


(4)
{"formula": "TlPHS3", "functional": "PBE-GGA", "state": "relaxed", "lattice": [[7.011, 0.088, -0.686], [3.363, 6.152, -0.686], [2.221, 1.336, 6.169]], "species": ["Tl", "Tl", "P", "P", "H", "H", "S", "S", "S", "S", "S", "S"], "fractional_positions": [[0.712, 0.712, 0.791], [0.288, 0.288, 0.209], [0.029, 0.029, 0.823], [0.971, 0.971, 0.177], [0.226, 0.774, 0.500], [0.774, 0.226, 0.500], [0.200, 0.200, 0.722], [0.192, 0.711, 0.755], [0.711, 0.192, 0.755], [0.289, 0.808, 0.245], [0.808, 0.289, 0.245], [0.800, 0.800, 0.278]], "dos_at_fermi_per_ev_cell": 0.00, "e_tot_ev_per_atom": -4.205, "magmom_total_mub_per_fu": 0.0, "spacegroup": "C2/m (12)"}


(5)
{"formula": "TlP2HS", "functional": "PBE-GGA", "state": "relaxed", "lattice": [[-1.241, -2.548, 4.443], [4.956, 0.556, 1.703], [-1.292, 4.577, 2.264]], "species": ["P", "P", "Tl", "S", "H"], "fractional_positions": [[0.000, 0.500, 0.000], [0.500, 0.000, 0.000], [0.000, 0.000, 0.000], [0.000, 0.000, 0.500], [0.500, 0.500, 0.500]], "relative_energy_ev_per_atom": 1.098, "dos_at_fermi_per_ev_cell": 5.26, "e_tot_ev_per_atom": -2.415, "magmom_total_mub_per_fu": 2.6, "spacegroup": "P4/mmm (123)"}


(6)
{"formula": "U2PH2S", "functional": "PBE-GGA", "state": "relaxed", "lattice": [[-2.706, 2.465, 0.967], [-0.928, -3.525, -1.026], [0.506, -2.119, 6.818]], "species": ["U", "U", "P", "H", "H", "S"], "fractional_positions": [[0.333, 0.667, 0.747], [0.667, 0.333, 0.253], [0.000, 0.000, 0.500], [0.333, 0.667, 0.250], [0.667, 0.333, 0.750], [0.000, 0.000, 0.000]], "dos_at_fermi_per_ev_cell": 6.78, "e_tot_ev_per_atom": -7.385, "magmom_total_mub_per_fu": 4.6, "spacegroup": "P-3m1 (164)"}


(7)
{"formula": "VP2HS", "functional": "PBE-GGA", "state": "relaxed", "lattice": [[3.509, 0.000, 0.000], [0.000, 3.509, 0.000], [0.000, 0.000, 5.033]], "species": ["P", "P", "S", "H", "V"], "fractional_positions": [[0.000, 0.500, 0.000], [0.500, 0.000, 0.000], [0.000, 0.000, 0.500], [0.000, 0.000, 0.000], [0.500, 0.500, 0.500]], "relative_energy_ev_per_atom": 0.000, "dos_at_fermi_per_ev_cell": 5.55, "e_tot_ev_per_atom": -4.974, "magmom_total_mub_per_fu": 0.0, "spacegroup": "P4/mmm (123)"}


(8)
{"formula": "VP2HS", "functional": "PBE-GGA", "state": "relaxed", "lattice": [[-1.958, -1.740, -3.704], [3.871, 0.545, -2.302], [1.314, -4.111, 1.236]], "species": ["P", "P", "S", "H", "V"], "fractional_positions": [[0.000, 0.500, 0.000], [0.500, 0.000, 0.000], [0.000, 0.000, 0.500], [0.500, 0.500, 0.500], [0.000, 0.000, 0.000]], "relative_energy_ev_per_atom": 0.126, "dos_at_fermi_per_ev_cell": 3.83, "e_tot_ev_per_atom": -4.847, "magmom_total_mub_per_fu": 0.4, "spacegroup": "P4/mmm (123)"}